## Y3CdCu (PBE)

Data for a relaxed structure of Y3CdCu.

a = 5.895 Å, b = 5.895 Å, c = 9.143 Å
α = 67.42°, β = 67.42°, γ = 69.10°
Sites, in units of the cell vectors:
Y 0.307 0.307 0.897
Y 0.693 0.693 0.103
Y 0.053 0.053 0.744
Y 0.947 0.947 0.256
Y 0.706 0.706 0.691
Y 0.294 0.294 0.309
Cd 0.707 0.293 0.500
Cd 0.293 0.707 0.500
Cu 0.289 0.711 0.000
Cu 0.711 0.289 0.000

Output
E above lowest polymorph	0	meV per atom
E	-50.48	eV/cell
energy relative to the elements	-0.17	eV/atom
space-group type	C2/m

## Ce2ScGa2Rh5 (PBE)

Data for a relaxed structure of Ce2ScGa2Rh5.

a = 3.643 Å, b = 9.928 Å, c = 9.928 Å
α = 90.00°, β = 90.00°, γ = 90.00°
Site moments in Bohr magnetons follow the coordinates.
Sites, in units of the cell vectors:
Ce 0.000 0.675 0.175  0.32
Ce 0.000 0.325 0.825  0.32
Ce 0.000 0.175 0.325  0.32
Ce 0.000 0.825 0.675  0.32
Sc 0.000 0.000 0.000  0.01
Sc 0.000 0.500 0.500  0.01
Ga 0.000 0.123 0.623  0.00
Ga 0.000 0.877 0.377  0.00
Ga 0.000 0.623 0.877  0.00
Ga 0.000 0.377 0.123  0.00
Rh 0.500 0.210 0.071  -0.02
Rh 0.500 0.790 0.929  -0.02
Rh 0.500 0.071 0.790  -0.02
Rh 0.500 0.710 0.429  -0.02
Rh 0.500 0.929 0.210  -0.02
Rh 0.500 0.290 0.571  -0.02
Rh 0.500 0.571 0.710  -0.02
Rh 0.500 0.429 0.290  -0.02
Rh 0.500 0.500 0.000  -0.03
Rh 0.500 0.000 0.500  -0.03

Output
E	-137.31	eV/cell
energy relative to the elements	-0.76	eV/atom
space-group type	P4/mbm